This record from Alexandria via LeMat-Bulk describes an optimized crystal structure of Be2CdTe. The functional is GGA-PBE.

Lattice parameters (Å, degrees): 3.523 3.630 11.803 90.00 90.00 90.00
Space group Imm2 (No. 44)
Inequivalent atoms, fractional coordinates:
Be (0.000, 0.000, 0.000) (multiplicity 2)
Be (0.000, 0.500, 0.107) (multiplicity 2)
Cd (0.000, 0.500, 0.701) (multiplicity 2)
Te (0.000, 0.000, 0.438) (multiplicity 2)

V: 151 Å³/cell
Energy: -2.45 eV per atom
Crystal system: orthorhombic
ΔE to the lowest computed polymorph: 0.485 eV/f.u.
Total moment: 0.0 μB/cell
Density: 5.7 g cm⁻³

---

This record from Alexandria via LeMat-Bulk describes an optimized crystal structure of Tb2ErTm5. The functional is GGA-PBE.

Lattice parameters (Å, degrees): 5.787 8.479 10.651 90.00 90.01 107.13
Space group P-1 (No. 2)
Inequivalent atoms, fractional coordinates:
Tb (0.155, 0.047, 0.108) (multiplicity 2)
Tb (0.156, 0.047, 0.392) (multiplicity 2)
Er (0.455, 0.129, 0.750) (multiplicity 2)
Tm (0.209, 0.374, 0.586) (multiplicity 2)
Tm (0.209, 0.374, 0.914) (multiplicity 2)
Tm (0.245, 0.441, 0.250) (multiplicity 2)
Tm (0.291, 0.767, 0.584) (multiplicity 2)
Tm (0.293, 0.768, 0.916) (multiplicity 2)

V: 499 Å³/cell
Energy: -4.33 eV per atom
Crystal system: triclinic
ΔE to the lowest computed polymorph: 1.360 eV/f.u.
Energy of formation: 0.19 eV/atom
Total moment: 0.0 μB/cell
Density: 8.8 g cm⁻³

---

This record from Alexandria via LeMat-Bulk describes an optimized crystal structure of TbTl2Sb. The functional is GGA-PBE.

Lattice parameters (Å, degrees): 3.5605 3.5605 34.5481 90.00 90.00 120.00
Space group R-3m (No. 166, hexagonal axes)
Inequivalent atoms, fractional coordinates:
Tb (0.0000, 0.0000, 0.0000) (multiplicity 3)
Tl (0.0000, 0.0000, 0.0913) (multiplicity 6)
Sb (0.0000, 0.0000, 0.5000) (multiplicity 3)

V: 379 Å³/cell
Energy: -3.23 eV per atom
Crystal system: trigonal
ΔE to the lowest computed polymorph: 2.036 eV/f.u.
Total moment: 0.0 μB/cell
Density: 9.1 g cm⁻³

---

This record from Alexandria via LeMat-Bulk describes an optimized crystal structure of Mg2CdAg2. The functional is GGA-PBE.

Lattice parameters (Å, degrees): 7.866 7.866 3.215 90.00 90.00 90.00
Space group P4/mbm (No. 127)
Inequivalent atoms, fractional coordinates:
Mg (0.140, 0.360, 0.000) (multiplicity 4)
Cd (0.000, 0.000, 0.000) (multiplicity 2)
Ag (0.155, 0.655, 0.500) (multiplicity 4)

V: 199 Å³/cell
Energy: -2.05 eV per atom
Crystal system: tetragonal
ΔE to the lowest computed polymorph: 0.383 eV/f.u.
Energy of formation: -0.09 eV/atom
Total moment: 0.0 μB/cell
Density: 6.3 g cm⁻³